Ho4ThSc4 after structural relaxation. Source: Alexandria via LeMat-Bulk, functional GGA-PBE.

Structure (CIF):
```
data_Ho4ThSc4
_cell_length_a 10.202
_cell_length_b 10.202
_cell_length_c 4.885
_cell_angle_alpha 90.00
_cell_angle_beta 90.00
_cell_angle_gamma 90.00
_symmetry_space_group_name_H-M 'I 4/m m m'
_symmetry_Int_Tables_number 139
_symmetry_space_group_name_Hall '-I 4 2'
loop_
_atom_site_label
_atom_site_type_symbol
_atom_site_fract_x
_atom_site_fract_y
_atom_site_fract_z
Ho1 Ho 0.167 0.167 0.000
Th1 Th 0.000 0.000 0.500
Sc1 Sc 0.000 0.338 0.500
```

Output
- Formation energy: 57 meV/atom
- Mass density: 7.0 g/cm³
- Crystal system: tetragonal


Ho2Th3Sc2 after structural relaxation. Source: Alexandria via LeMat-Bulk, functional GGA-PBE.

Structure (CIF):
```
data_Ho2Th3Sc2
_cell_length_a 15.271
_cell_length_b 3.525
_cell_length_c 8.410
_cell_angle_alpha 90.00
_cell_angle_beta 113.14
_cell_angle_gamma 90.00
_symmetry_space_group_name_H-M 'C 1 2/m 1'
_symmetry_Int_Tables_number 12
_symmetry_space_group_name_Hall '-C 2y'
loop_
_atom_site_label
_atom_site_type_symbol
_atom_site_fract_x
_atom_site_fract_y
_atom_site_fract_z
Ho1 Ho 0.069 0.000 0.213
Th1 Th 0.000 0.500 0.500
Th2 Th 0.216 0.000 0.645
Sc1 Sc 0.147 0.500 0.926
```

Output
- Formation energy: 45 meV/atom
- Mass density: 8.9 g/cm³
- Crystal system: monoclinic
- E above lowest polymorph: 0.0000 eV per atom